Below is a geometry-optimized Er2PaPt structure, with properties calculated at the PBE-GGA level.

Structure (CIF):
```
data_Er2PaPt
_chemical_formula_sum 'Er2 Pa1 Pt1'
_space_group_name_H-M_alt 'P 1'
_space_group_IT_number 1
_space_group_name_Hall 'P 1'
_cell_length_a 3.3747
_cell_length_b 3.3747
_cell_length_c 10.7869
_cell_angle_alpha 81.00
_cell_angle_beta 81.00
_cell_angle_gamma 60.00
loop_
_atom_site_label
_atom_site_type_symbol
_atom_site_fract_x
_atom_site_fract_y
_atom_site_fract_z
Er1 Er 0.8971 0.8971 0.3087
Er2 Er 0.1029 0.1029 0.6913
Pt1 Pt 0.5000 0.5000 0.5000
Pa1 Pa 0.0000 0.0000 0.0000
```

Values from the calculation:
* distance to the lowest polymorph of the same formula: 376 meV/atom
* D(E_F): 4.24 states/eV per cell